Entry 1:
DFT (PBE) results for crystalline Tb4Sm3Ho4 at its relaxed geometry.

Summary:
* offset from the most stable computed form: 0 meV/atom
* total magnetic moment: 0.00 μB/f.u.
* DFT formation energy: 15.00 kJ/mol of atoms
* Fermi-level density of states: 35.19 states/eV/cell
* volume: 723.30 Å³ per cell

CIF file:
```
data_Tb4Sm3Ho4
_chemical_formula_sum 'Tb8 Sm6 Ho8'
_cell_length_a 10.578
_cell_length_b 5.686
_cell_length_c 12.026
_cell_angle_alpha 90.00
_cell_angle_beta 90.00
_cell_angle_gamma 90.00
_space_group_name_H-M_alt 'A m m 2'
_space_group_IT_number 38
_space_group_name_Hall 'A 2 -2'
loop_
_atom_site_label
_atom_site_type_symbol
_atom_site_fract_x
_atom_site_fract_y
_atom_site_fract_z
Tb1 Tb 0.000 0.000 0.000
Tb2 Tb 0.210 0.000 0.481
Tb3 Tb 0.500 0.000 0.932
Sm1 Sm 0.203 0.000 0.785
Sm2 Sm 0.500 0.000 0.634
Ho1 Ho 0.000 0.000 0.272
Ho2 Ho 0.288 0.000 0.134
Ho3 Ho 0.500 0.000 0.336
```



Entry 2:
DFT (PBE) results for crystalline TbSm7Ho3 at its relaxed geometry.

Summary:
* offset from the most stable computed form: 0 meV/atom
* total magnetic moment: 0.00 μB/f.u.
* DFT formation energy: 12.04 kJ/mol of atoms
* Fermi-level density of states: 15.29 states/eV/cell
* volume: 369.73 Å³ per cell

CIF file:
```
data_TbSm7Ho3
_chemical_formula_sum 'Tb1 Sm7 Ho3'
_cell_length_a 7.048
_cell_length_b 5.613
_cell_length_c 9.974
_cell_angle_alpha 90.00
_cell_angle_beta 110.45
_cell_angle_gamma 90.00
_space_group_name_H-M_alt 'P 1 2/m 1'
_space_group_IT_number 10
_space_group_name_Hall '-P 2y'
loop_
_atom_site_label
_atom_site_type_symbol
_atom_site_fract_x
_atom_site_fract_y
_atom_site_fract_z
Tb1 Tb 0.000 0.000 0.000
Sm1 Sm 0.000 0.000 0.500
Sm2 Sm 0.147 0.500 0.792
Sm3 Sm 0.321 0.500 0.141
Sm4 Sm 0.417 0.000 0.330
Ho1 Ho 0.279 0.500 0.499
Ho2 Ho 0.500 0.000 0.000
```